Record 1
Computed, not measured: a relaxed Ca2NiPb crystal at the PBEsol level of DFT.

```
Ca2NiPb
1.0
-2.932 1.609 0.980
0.395 -2.081 4.596
4.229 4.587 -1.073
Ni Pb Ca
1 1 2
Direct
0.516 0.516 0.032
0.196 0.696 0.391
0.993 0.993 0.987
0.795 0.295 0.590
```

Values from the calculation:
Raw total energy (eV/atom): -3.801
DOS at the Fermi energy (states/eV/cell): 2.54
Crystal system: orthorhombic
Space-group type: No. 44

=====

Record 2
Computed, not measured: a relaxed SrMnTe2 crystal at the PBEsol level of DFT.

```
SrMnTe2
1.0
-1.862 0.853 3.739
1.256 -4.165 1.576
6.519 2.039 0.351
Sr Te Mn
1 2 1
Direct
0.730 0.834 0.460
0.016 0.839 0.032
0.282 0.332 0.564
0.473 0.495 0.945
```

Values from the calculation:
Excess energy over the best structure of this formula in the dataset (eV/atom): 0.116
Crystal system: monoclinic
Uncorrected formation energy (eV/atom): -0.62
Space-group type: No. 8

=====

Record 3
Computed, not measured: a relaxed FeSb2Ir crystal at the PBEsol level of DFT.

```
FeSb2Ir
1.0
-2.204 -0.182 3.394
1.458 -3.398 -1.653
4.265 0.469 2.795
Fe Ir Sb
1 1 2
Direct
0.000 0.000 0.000
0.000 0.000 0.500
0.333 0.667 0.762
0.667 0.333 0.238
```

Values from the calculation:
Excess energy over the best structure of this formula in the dataset (eV/atom): 0.000
DOS at the Fermi energy (states/eV/cell): 2.79
Crystal system: trigonal
Uncorrected formation energy (eV/atom): -0.12
Space-group type: No. 164

=====

Record 4
Computed, not measured: a relaxed NaCa2Pb2 crystal at the PBEsol level of DFT.

```
NaCa2Pb2
1.0
4.558 0.000 0.000
0.000 4.558 0.000
-2.279 -2.279 8.598
Na Ca Pb
1 2 2
Direct
0.000 0.000 0.000
0.613 0.613 0.226
0.387 0.387 0.774
0.750 0.250 0.500
0.250 0.750 0.500
```

Values from the calculation:
Excess energy over the best structure of this formula in the dataset (eV/atom): 0.299
DOS at the Fermi energy (states/eV/cell): 3.59
Crystal system: tetragonal
Space-group type: No. 139

=====

Record 5
Computed, not measured: a relaxed KLaSe2O8 crystal at the PBEsol level of DFT.

```
KLaSe2O8
1.0
-1.238 5.782 -4.486
-8.086 0.861 3.341
4.274 6.880 7.689
O La K Se
32 4 4 8
Direct
0.854 0.622 0.602
0.745 0.308 0.957
0.016 0.586 0.863
0.646 0.622 0.102
0.948 0.117 0.057
0.984 0.414 0.137
0.245 0.692 0.543
0.502 0.103 0.813
0.668 0.875 0.971
0.318 0.746 0.807
0.832 0.875 0.471
0.146 0.378 0.398
0.552 0.117 0.557
0.755 0.308 0.457
0.659 0.860 0.695
0.255 0.692 0.043
0.516 0.414 0.637
0.332 0.125 0.029
0.002 0.897 0.687
0.498 0.897 0.187
0.484 0.586 0.363
0.448 0.883 0.443
0.159 0.140 0.805
0.168 0.125 0.529
0.998 0.103 0.313
0.818 0.254 0.693
0.182 0.746 0.307
0.052 0.883 0.943
0.341 0.140 0.305
0.354 0.378 0.898
0.682 0.254 0.193
0.841 0.860 0.195
0.666 0.057 0.348
0.166 0.943 0.152
0.334 0.943 0.652
0.834 0.057 0.848
0.356 0.434 0.158
0.644 0.566 0.842
0.856 0.566 0.342
0.144 0.434 0.658
0.158 0.716 0.910
0.663 0.807 0.108
0.342 0.716 0.410
0.337 0.193 0.892
0.842 0.284 0.090
0.837 0.807 0.608
0.658 0.284 0.590
0.163 0.193 0.392
```

Values from the calculation:
DOS at the Fermi energy (states/eV/cell): 0.00
Crystal system: monoclinic
Uncorrected formation energy (eV/atom): -1.58
Space-group type: No. 14

=====

Record 6
Computed, not measured: a relaxed Ag2AuBr crystal at the PBEsol level of DFT.

```
Ag2AuBr
1.0
-4.359 -0.893 1.641
-0.638 -1.065 4.578
-2.131 3.106 2.883
Br Ag Au
1 2 1
Direct
0.000 0.000 0.000
0.750 0.750 0.750
0.250 0.250 0.250
0.500 0.500 0.500
```

Values from the calculation:
Excess energy over the best structure of this formula in the dataset (eV/atom): 0.119
DOS at the Fermi energy (states/eV/cell): 1.01
Crystal system: cubic
Uncorrected formation energy (eV/atom): 0.20
Space-group type: No. 225

=====

Record 7
Computed, not measured: a relaxed FeMo2PbCl crystal at the PBEsol level of DFT.

```
FeMo2PbCl
1.0
5.283 0.000 0.000
0.000 5.299 0.000
0.000 0.000 5.299
Fe Pb Mo Cl
1 1 2 1
Direct
0.500 0.500 0.500
0.000 0.000 0.000
0.000 0.500 0.000
0.000 0.000 0.500
0.500 0.000 0.000
```

Values from the calculation:
DOS at the Fermi energy (states/eV/cell): 9.44
Crystal system: tetragonal
Uncorrected formation energy (eV/atom): 2.57
Space-group type: No. 123

=====

Record 8
Computed, not measured: a relaxed HfScW3 crystal at the PBEsol level of DFT.

```
HfScW3
1.0
-3.031 2.357 -2.795
0.033 -3.613 -3.083
-3.656 -1.987 2.290
Sc W Hf
1 3 1
Direct
0.500 0.500 0.500
0.500 0.000 0.000
0.000 0.500 0.000
0.000 0.000 0.500
0.000 0.000 0.000
```

Values from the calculation:
Raw total energy (eV/atom): -9.601
DOS at the Fermi energy (states/eV/cell): 7.25
Crystal system: cubic
Space-group type: No. 221

=====

Record 9
Computed, not measured: a relaxed LiCdAu crystal at the PBEsol level of DFT.

```
LiCdAu
1.0
4.465 0.000 0.000
2.233 3.867 0.000
2.233 1.289 3.646
Au Cd Li
1 1 1
Direct
0.500 0.500 0.500
0.250 0.250 0.250
0.000 0.000 0.000
```

Values from the calculation:
Excess energy over the best structure of this formula in the dataset (eV/atom): 0.264
DOS at the Fermi energy (states/eV/cell): 1.04
Crystal system: cubic
Space-group type: No. 216

=====

Record 10
Computed, not measured: a relaxed Ag3OsI crystal at the PBEsol level of DFT.

```
Ag3OsI
1.0
5.045 0.000 0.000
0.000 5.045 0.000
0.000 0.000 5.045
I Ag Os
1 3 1
Direct
0.500 0.500 0.500
0.000 0.500 0.000
0.500 0.000 0.000
0.000 0.000 0.500
0.000 0.000 0.000
```

Values from the calculation:
DOS at the Fermi energy (states/eV/cell): 2.74
Crystal system: cubic
Uncorrected formation energy (eV/atom): 1.44
Space-group type: No. 221

=====

Record 11
Computed, not measured: a relaxed CuSi2Hg crystal at the PBEsol level of DFT.

```
CuSi2Hg
1.0
3.101 0.000 0.000
1.551 2.686 0.000
1.551 0.895 7.680
Si Cu Hg
2 1 1
Direct
0.010 0.010 0.969
0.754 0.754 0.739
0.490 0.490 0.530
0.246 0.246 0.261
```

Values from the calculation:
DOS at the Fermi energy (states/eV/cell): 1.47
Crystal system: trigonal
Uncorrected formation energy (eV/atom): 0.27
Space-group type: No. 160

=====

Record 12
Computed, not measured: a relaxed BeCo2B crystal at the PBEsol level of DFT.

```
BeCo2B
1.0
-1.068 -2.242 -2.506
2.370 -1.899 -1.795
0.238 -3.480 0.529
Co Be B
2 1 1
Direct
0.750 0.750 0.750
0.250 0.250 0.250
0.000 0.000 0.000
0.500 0.500 0.500
```

Values from the calculation:
Raw total energy (eV/atom): -7.027
DOS at the Fermi energy (states/eV/cell): 2.14
Crystal system: cubic
Space-group type: No. 225

=====

Please write out number 12 again, unchanged.
Computed, not measured: a relaxed BeCo2B crystal at the PBEsol level of DFT.

```
BeCo2B
1.0
-1.068 -2.242 -2.506
2.370 -1.899 -1.795
0.238 -3.480 0.529
Co Be B
2 1 1
Direct
0.750 0.750 0.750
0.250 0.250 0.250
0.000 0.000 0.000
0.500 0.500 0.500
```

Values from the calculation:
Raw total energy (eV/atom): -7.027
DOS at the Fermi energy (states/eV/cell): 2.14
Crystal system: cubic
Space-group type: No. 225

=====

- What is the formula in the sixth record?
  Ag2AuBr